[1]
# AcLa5TbEr2 PBE relaxed
data_AcLa5TbEr2
_chemical_formula_sum 'Ac4 La20 Tb4 Er8'
_cell_length_a 5.6279
_cell_length_b 24.6277
_cell_length_c 9.6073
_cell_angle_alpha 90.00
_cell_angle_beta 90.00
_cell_angle_gamma 90.00
_space_group_name_H-M_alt 'C m c 21'
_space_group_IT_number 36
_space_group_name_Hall 'C 2c -2'
loop_
_atom_site_label
_atom_site_type_symbol
_atom_site_fract_x
_atom_site_fract_y
_atom_site_fract_z
_atom_site_occupancy
Ac1 Ac 0.0000 0.1031 0.0000 1
La1 La 0.0000 0.0250 0.6682 1
La2 La 0.0000 0.1075 0.3941 1
La3 La 0.0000 0.1884 0.7014 1
La4 La 0.0000 0.2408 0.0701 1
La5 La 0.0000 0.4909 0.8827 1
Tb1 Tb 0.0000 0.2687 0.3934 1
Er1 Er 0.0000 0.3257 0.7516 1
Er2 Er 0.0000 0.3883 0.1360 1
# - electronic total energy (eV/atom) = -4.577
# - N(E_F) (states/eV/f.u.) = 12.72



[2]
# Ac4La3ErTe8 PBE relaxed
data_Ac4La3ErTe8
_chemical_formula_sum 'Ac12 La9 Er3 Te24'
_cell_length_a 9.2338
_cell_length_b 9.2338
_cell_length_c 22.7744
_cell_angle_alpha 90.00
_cell_angle_beta 90.00
_cell_angle_gamma 120.00
_space_group_name_H-M_alt 'R -3 m'
_space_group_IT_number 166
_space_group_name_Hall '-R 3 2"'
loop_
_atom_site_label
_atom_site_type_symbol
_atom_site_fract_x
_atom_site_fract_y
_atom_site_fract_z
_atom_site_occupancy
Ac1 Ac 0.0000 0.0000 0.0000 1
Ac2 Ac 0.0000 0.5000 0.0000 1
La1 La 0.0000 0.5000 0.5000 1
Er1 Er 0.0000 0.0000 0.5000 1
Te1 Te 0.0000 0.0000 0.2467 1
Te2 Te 0.0100 0.5050 0.2443 1
# - formation energy from raw total energies (kJ/mol of formula units) = -2292.4
# - N(E_F) (states/eV/f.u.) = 11.55



What is the N(E_F) in the first record? 12.72 states/eV/f.u.